Entry 1:
This record from the Alexandria database describes a geometry-optimized CsScFe2I8 structure. The functional is GGA-PBE.

Structure (POSCAR):
```
CsScFe2I8
1.0
7.291 -0.371 0.226
3.034 6.640 0.226
0.905 0.549 10.991
I Fe Sc Cs
8 2 1 1
direct
0.239 0.239 0.998 I
0.270 0.774 0.808 I
0.761 0.761 0.002 I
0.226 0.730 0.192 I
0.730 0.226 0.192 I
0.316 0.316 0.589 I
0.684 0.684 0.411 I
0.774 0.270 0.808 I
0.383 0.383 0.799 Fe
0.617 0.617 0.201 Fe
0.000 0.000 0.000 Sc
0.000 0.000 0.500 Cs
```

Crystal system ... monoclinic

Entry 2:
This record from the Alexandria database describes a geometry-optimized Cs2FeSeI6 structure. The functional is GGA-PBE.

Structure (POSCAR):
```
Cs2FeSeI6
1.0
8.461 0.000 0.000
0.000 8.461 0.000
4.230 4.230 5.894
I Se Cs Fe
6 1 2 1
direct
0.274 0.726 0.000 I
0.760 0.760 0.481 I
0.726 0.726 0.000 I
0.240 0.240 0.519 I
0.726 0.274 0.000 I
0.274 0.274 0.000 I
0.000 0.000 0.000 Se
0.250 0.750 0.500 Cs
0.750 0.250 0.500 Cs
0.500 0.500 0.000 Fe
```

Crystal system ... tetragonal

Entry 3:
This record from the Alexandria database describes a geometry-optimized CsFe2SeI structure. The functional is GGA-PBE.

Structure (POSCAR):
```
CsFe2SeI
1.0
-1.159 2.070 -5.820
3.053 -4.328 -2.147
-5.185 -3.545 -0.228
I Cs Fe Se
1 1 2 1
direct
0.500 0.500 0.500 I
0.000 0.000 0.000 Cs
0.500 0.000 0.000 Fe
0.000 0.000 0.500 Fe
0.000 0.500 0.000 Se
```

Crystal system ... tetragonal

Entry 4:
This record from the Alexandria database describes a geometry-optimized Cs2FeSiI6 structure. The functional is GGA-PBE.

Structure (POSCAR):
```
Cs2FeSiI6
1.0
-0.026 -6.517 -5.020
-2.206 -4.830 6.283
-6.720 -4.708 -0.594
Cs Fe I Si
2 1 6 1
direct
0.750 0.250 0.500 Cs
0.250 0.750 0.500 Cs
0.000 0.000 0.000 Fe
0.754 0.246 0.000 I
0.754 0.754 0.492 I
0.754 0.754 0.000 I
0.246 0.754 0.000 I
0.246 0.246 0.508 I
0.246 0.246 0.000 I
0.500 0.500 0.000 Si
```

Crystal system ... cubic

no.,calculated total energy (eV per atom)
1,-3.72
2,-2.88
3,-2.71
4,-3.11